# 1
SmThHg: optimized geometry, PBE-GGA.

As for the total energy: -12.15 eV per cell. The energy relative to the lowest polymorph listed for this composition is 0.000 eV/atom. Its formation energy from the elements is 0.09 eV/atom. The magnetization comes out at 0.6 μB per cell.

abc: 5.202 5.202 5.202
angles: 60.00 60.00 60.00
Last column: magnetic moment on the atom in μB.
Sites, in units of the cell vectors:
1 Sm 0.250 0.250 0.250  0.14
2 Th 0.750 0.750 0.750  0.16
3 Hg 0.000 0.000 0.000  0.01

# 2
NaThNp: optimized geometry, PBE-GGA.

As for the total energy: -17.26 eV per cell. The energy relative to the lowest polymorph listed for this composition is 0.000 eV/atom. The magnetization comes out at 4.8 μB per cell.

abc: 4.972 4.972 4.972
angles: 60.00 60.00 60.00
Last column: magnetic moment on the atom in μB.
Sites, in units of the cell vectors:
1 Th 0.750 0.750 0.750  0.45
2 Na 0.250 0.250 0.250  -0.01
3 Np 0.000 0.000 0.000  4.08

# 3
ZrPb: optimized geometry, PBE-GGA.

As for the total energy: -73.72 eV per cell. The magnetization comes out at 0.0 μB per cell.

abc: 8.615 6.295 5.559
angles: 90.00 90.00 96.60
Sites, in units of the cell vectors:
1 Zr 0.859 0.256 0.500
2 Pb 0.524 0.919 0.500
3 Pb 0.317 0.291 0.000
4 Zr 0.215 0.603 0.500
5 Pb 0.905 0.764 0.500
6 Zr 0.363 0.799 0.000
7 Pb 0.698 0.136 0.000
8 Zr 0.029 0.953 0.000
9 Zr 0.193 0.103 0.500
10 Pb 0.693 0.633 0.000
11 Pb 0.529 0.423 0.500
12 Zr 0.007 0.452 0.000

# 4
NaPmNO: optimized geometry, PBE-GGA.

As for the total energy: -47.34 eV per cell. The energy relative to the lowest polymorph listed for this composition is 0.218 eV/atom. The magnetization comes out at 2.0 μB per cell.

abc: 3.868 3.868 8.268
angles: 90.00 90.00 90.00
Last column: magnetic moment on the atom in μB.
Sites, in units of the cell vectors:
1 O 0.000 0.000 0.000  0.05
2 Pm 0.500 0.000 0.148  -0.01
3 Pm 0.000 0.500 0.852  -0.01
4 Na 0.500 0.500 0.500  0.00
5 N 0.000 0.500 0.321  0.62
6 O 0.500 0.500 0.000  0.05
7 N 0.500 0.000 0.679  0.62
8 Na 0.000 0.000 0.500  0.00